Compound: Ca2YMo
Source: Alexandria
Functional: PBE-GGA
Structure: optimized geometry

Lattice parameters (Å, degrees): 5.559 3.309 6.059 79.74 90.00 90.00
Fractional coordinates of all 4 atoms:
Ca 0.000 0.459 0.481
Ca 0.000 0.041 0.019
Mo 0.500 0.250 0.250
Y 0.500 0.750 0.750

Energy above the most stable polymorph in this dataset in eV per atom: 0.254
Uncorrected energy in eV/cell: -18.6
Symmetry: P2/m